[1]
Entry from the Alexandria database: BaCoRu2 after structural relaxation (PBE).

a b c (Å): 9.686 9.686 9.686
angles (deg): 17.66 17.66 17.66
Site moments in Bohr magnetons follow the coordinates.
Element x y z (fractional)
Ba1 0.250 0.250 0.250  -0.02
Co1 0.750 0.750 0.750  1.90
Ru1 0.018 0.018 0.018  0.62
Ru2 0.482 0.482 0.482  0.62

Summary:
formation energy from the elements = 4.28 eV per formula unit
total energy = -5.82 eV/atom
energy relative to the lowest polymorph listed for this composition = 287.3 kJ/mol of formula units
space-group type = R-3m, No. 166

=====

[2]
Entry from the Alexandria database: NaZn3H3S2O9 after structural relaxation (PBE).

a b c (Å): 5.963 5.963 13.581
angles (deg): 90.00 90.00 120.00
Element x y z (fractional)
Na1 0.333 0.667 0.986
Na2 0.333 0.667 0.486
Zn1 0.333 0.011 0.254
Zn2 0.989 0.322 0.254
Zn3 0.678 0.667 0.254
Zn4 0.989 0.667 0.754
Zn5 0.333 0.322 0.754
Zn6 0.678 0.011 0.754
H1 0.333 0.667 0.169
H2 0.333 0.667 0.669
H3 0.000 0.000 0.133
H4 0.000 0.000 0.633
H5 0.667 0.333 0.874
H6 0.667 0.333 0.374
S1 0.000 0.000 0.442
S2 0.000 0.000 0.942
S3 0.667 0.333 0.562
S4 0.667 0.333 0.062
O1 0.333 0.667 0.241
O2 0.333 0.667 0.741
O3 0.000 0.000 0.205
O4 0.000 0.000 0.705
O5 0.667 0.333 0.802
O6 0.667 0.333 0.302
O7 0.181 0.911 0.396
O8 0.089 0.270 0.396
O9 0.730 0.819 0.396
O10 0.089 0.819 0.896
O11 0.181 0.270 0.896
O12 0.730 0.911 0.896
O13 0.477 0.412 0.606
O14 0.588 0.065 0.606
O15 0.935 0.523 0.606
O16 0.588 0.523 0.106
O17 0.477 0.065 0.106
O18 0.935 0.412 0.106

Summary:
total energy = -5.11 eV/atom
space-group type = P3c1, No. 158

=====

[3]
Entry from the Alexandria database: CdFeSi2 after structural relaxation (PBE).

a b c (Å): 4.868 4.868 2.812
angles (deg): 90.00 90.00 110.27
Site moments in Bohr magnetons follow the coordinates.
Element x y z (fractional)
Cd1 0.500 0.000 0.500  -0.02
Fe1 0.000 0.500 0.500  2.47
Si1 0.000 0.000 0.000  0.01
Si2 0.500 0.500 0.000  0.01

Summary:
uncorrected formation energy = 503.9 meV/atom
total energy = -4.55 eV/atom
space-group type = Cmmm, No. 65

=====

[4]
Entry from the Alexandria database: CdPb2Au2 after structural relaxation (PBE).

a b c (Å): 5.911 5.911 5.911
angles (deg): 133.15 121.24 78.32
Element x y z (fractional)
Cd1 0.500 0.000 0.500
Pb1 0.197 0.197 0.000
Pb2 0.803 0.803 0.000
Au1 0.239 0.500 0.739
Au2 0.761 0.500 0.261

Summary:
formation energy from the elements = -0.41 eV per formula unit
total energy = -3.06 eV/atom
energy relative to the lowest polymorph listed for this composition = 0.0 kJ/mol of formula units
space-group type = Immm, No. 71